No. 1
VASP calculation (GGA-PBE) on a relaxed structure of Sr3TaN.

a = 5.995 Å, b = 5.995 Å, c = 5.995 Å
α = 90.00°, β = 90.00°, γ = 90.00°
Sites, in units of the cell vectors:
Sr (0.000, 0.000, 0.500)
Sr (0.000, 0.500, 0.000)
Sr (0.500, 0.000, 0.000)
Ta (0.000, 0.000, 0.000)
N (0.500, 0.500, 0.500)

Properties
energy above the lowest structure with this stoichiometry	1381	meV/atom
symmetry	Pm-3m
formation energy from raw total energies	183	kJ per mole of atoms

No. 2
VASP calculation (GGA-PBE) on a relaxed structure of KInSi2.

a = 10.108 Å, b = 10.108 Å, c = 10.108 Å
α = 150.92°, β = 150.92°, γ = 41.59°
Sites, in units of the cell vectors:
K (0.375, 0.625, 0.750)
K (0.625, 0.375, 0.250)
In (0.125, 0.875, 0.250)
In (0.875, 0.125, 0.750)
Si (0.000, 0.000, 0.000)
Si (0.000, 0.000, 0.500)
Si (0.000, 0.500, 0.000)
Si (0.500, 0.000, 0.500)

Properties
symmetry	I4_1/amd
formation energy from raw total energies	33	kJ per mole of atoms

No. 3
VASP calculation (GGA-PBE) on a relaxed structure of TiAlTcAu.

a = 3.225 Å, b = 3.225 Å, c = 5.985 Å
α = 90.00°, β = 90.00°, γ = 90.00°
Sites, in units of the cell vectors:
Ti (0.000, 0.000, 0.000)
Al (0.000, 0.000, 0.461)
Tc (0.500, 0.500, 0.219)
Au (0.500, 0.500, 0.717)

Properties
energy above the lowest structure with this stoichiometry	0	meV/atom
symmetry	P4mm
E_form	-0.53	eV per atom

No. 4
VASP calculation (GGA-PBE) on a relaxed structure of KBaZrBe2.

a = 5.222 Å, b = 5.222 Å, c = 5.573 Å
α = 90.00°, β = 90.00°, γ = 90.00°
Sites, in units of the cell vectors:
K (0.000, 0.000, 0.000)
Ba (0.000, 0.000, 0.500)
Zr (0.500, 0.500, 0.000)
Be (0.000, 0.500, 0.500)
Be (0.500, 0.000, 0.500)

Properties
symmetry	P4/mmm
E_form	1.94	eV per atom

No. 5
VASP calculation (GGA-PBE) on a relaxed structure of ZnSb3Rh.

a = 5.184 Å, b = 5.184 Å, c = 5.184 Å
α = 90.00°, β = 90.00°, γ = 90.00°
Sites, in units of the cell vectors:
Zn (0.000, 0.000, 0.000)
Sb (0.000, 0.500, 0.500)
Sb (0.500, 0.000, 0.500)
Sb (0.500, 0.500, 0.000)
Rh (0.500, 0.500, 0.500)

Properties
energy above the lowest structure with this stoichiometry	0	meV/atom
symmetry	Pm-3m
formation energy from raw total energies	38	kJ per mole of atoms

No. 6
VASP calculation (GGA-PBE) on a relaxed structure of YbCu2S2.

a = 3.920 Å, b = 3.920 Å, c = 6.458 Å
α = 90.00°, β = 90.00°, γ = 120.00°
Sites, in units of the cell vectors:
Yb (0.000, 0.000, 0.000)
Cu (0.333, 0.667, 0.371)
Cu (0.667, 0.333, 0.629)
S (0.333, 0.667, 0.744)
S (0.667, 0.333, 0.256)

Properties
symmetry	P-3m1
formation energy from raw total energies	-90	kJ per mole of atoms